Record 1
Density functional theory data (PBE) for Tb2PmEr8 after structural relaxation.

```
Tb2PmEr8
1.0
8.621 -2.706 0.000
8.621 2.706 0.000
-3.709 0.000 7.433
Tb Pm Er
2 1 8
Direct
0.201 0.201 0.159
0.799 0.799 0.841
0.500 0.500 0.500
0.018 0.018 0.223
0.159 0.159 0.697
0.334 0.334 0.607
0.383 0.383 0.057
0.617 0.617 0.943
0.666 0.666 0.393
0.841 0.841 0.303
0.982 0.982 0.777
```

Calculated values
- Spin magnetization: 0.00 μB/cell
- Energy relative to the elements: 1.1 eV per formula unit

Record 2
Density functional theory data (PBE) for BePtAu4 after structural relaxation.

```
BePtAu4
1.0
0.000 3.811 3.811
3.811 0.000 3.811
3.811 3.811 0.000
Be Pt Au
1 1 4
Direct
0.000 0.000 0.000
0.750 0.750 0.750
0.375 0.375 0.375
0.375 0.375 0.875
0.375 0.875 0.375
0.875 0.375 0.375
```

Calculated values
- Spin magnetization: 0.00 μB/cell
- Energy relative to the elements: 2.9 eV per formula unit